NbSn2O: relaxed, PBE.

Cell: 6.6510 6.6510 6.9970 Å, 90.00 90.00 90.00°
Space group I-42d (No. 122)
Unique sites:
Nb1 0.0000 0.0000 0.0000 x4
Sn1 0.1802 0.2500 0.6250 x8
O1 0.0000 0.0000 0.5000 x4

## Properties
crystal system: tetragonal
calculated volume: 19.345 Å³/atom
DOS(E_F): 11.2 states/eV/cell
formation energy without anion corrections: -100 meV/atom